[1]
A relaxed MgPW3 crystal, computed with PBEsol.

a = 4.5156 Å, b = 4.5156 Å, c = 4.5156 Å
α = 90.00°, β = 90.00°, γ = 90.00°
Element x y z (fractional)
Mg1 0.0000 0.0000 0.0000
P1 0.5000 0.5000 0.5000
W1 0.0000 0.0000 0.5000
W2 0.0000 0.5000 0.0000
W3 0.5000 0.0000 0.0000

## Properties
Formation enthalpy at 0 K: 2925 meV per atom
Space group: No. 221

[2]
A relaxed Mg3PW crystal, computed with PBEsol.

a = 5.1235 Å, b = 5.1235 Å, c = 5.1235 Å
α = 90.00°, β = 90.00°, γ = 90.00°
Element x y z (fractional)
Mg1 0.0000 0.0000 0.5000
Mg2 0.0000 0.5000 0.0000
Mg3 0.5000 0.0000 0.0000
P1 0.5000 0.5000 0.5000
W1 0.0000 0.0000 0.0000

## Properties
Formation enthalpy at 0 K: 1686 meV per atom
Space group: No. 221